1.
VASP calculation (GGA-PBE) on an optimized crystal structure of TcW2Au.

Results
**Spin magnetization**: 0.0 μB per formula unit
**Relative energy among the computed polymorphs**: 0 meV/atom
**VASP energy**: -9.67 eV per atom
**Energy of formation**: 0.87 eV/f.u.

Cell: 3.968 3.968 4.023 Å, 90.00 90.00 90.00°
Space group P4/mmm (No. 123)
Inequivalent atoms, fractional coordinates:
Tc1 0.000 0.000 0.000
W1 0.000 0.500 0.500
Au1 0.500 0.500 0.000

2.
VASP calculation (GGA-PBE) on an optimized crystal structure of Nd3Si4Pt7.

Results
**Formation energy (no corrections)**: -1041 meV per atom
**Spin magnetization**: 0.0 μB per formula unit
**VASP energy**: -6.63 eV per atom

Cell: 15.744 4.108 9.612 Å, 90.00 125.58 90.00°
Space group C2/m (No. 12)
Inequivalent atoms, fractional coordinates:
Nd1 0.000 0.000 0.000
Nd2 0.173 0.500 0.671
Si1 0.110 0.000 0.825
Si2 0.168 0.500 0.277
Pt1 0.000 0.000 0.500
Pt2 0.008 0.500 0.265
Pt3 0.169 0.000 0.418
Pt4 0.194 0.500 0.043